A plane-wave DFT calculation with PBE with a Hubbard U was carried out for an optimized crystal structure of TiVO4.

abc: 5.363 5.374 5.542
angles: 90.00 118.74 90.00
Positions (direct):
1 Ti 0.244 0.000 0.007
2 Ti 0.756 0.500 0.993
3 V 0.251 0.740 0.509
4 V 0.749 0.240 0.491
5 O 0.039 0.017 0.579
6 O 0.041 0.746 0.076
7 O 0.451 0.755 0.901
8 O 0.453 0.992 0.414
9 O 0.547 0.492 0.586
10 O 0.549 0.255 0.099
11 O 0.959 0.246 0.924
12 O 0.961 0.517 0.421

Output
calculated total energy = -8.358 eV per atom
crystal system = monoclinic
volume = 11.67 Å³/atom